The following is a DFT calculation (GGA-PBE) of a geometry-optimized AlPS2N structure.

Calculated values
The energy above the most stable polymorph in this dataset comes out at 0.0 kJ/mol of atoms. Its formation energy from raw total energies is 0.361 eV per atom. As for the calculated volume: 70.9 Å³/cell. As for the raw total energy: -0.1759 hartree per atom. The density of states at the Fermi level is 1.2 states/eV/cell.

Lattice parameters (Å, degrees): 4.6357 4.6357 3.3009 90.00 90.00 90.00
With the nearest neighbours (Å) after each atom.
Element x y z (fractional)
P  0.0000  0.0000  0.0000  2 N 1.65
S  0.0000  0.5000  0.0000  2 P 2.32
S  0.5000  0.0000  0.0000  2 P 2.32
Al  0.5000  0.5000  0.5000  8 S 2.85
N  0.0000  0.0000  0.5000  2 P 1.65

---

The following is a DFT calculation (GGA-PBE) of a geometry-optimized As2OsW structure.

Calculated values
The energy above the most stable polymorph in this dataset comes out at 17.3 kJ/mol of atoms. As for the calculated volume: 62.3 Å³/cell. The energy of formation is 1.03 eV per formula unit. As for the raw total energy: -0.2981 hartree per atom. The density of states at the Fermi level is 3.1 states/eV/cell.

Lattice parameters (Å, degrees): 4.6952 4.6952 4.6967 73.28 73.28 39.16
With the nearest neighbours (Å) after each atom.
Element x y z (fractional)
As  0.0118  0.0118  0.9468  3 W 2.50-2.58, 2 Os 2.73
As  0.2400  0.2400  0.2936  3 Os 2.52-2.60, 2 W 2.66
Os  0.4940  0.4940  0.4301  5 As 2.52-2.73
W  0.7541  0.7541  0.8295  5 As 2.50-2.66